Entry 1:
{"formula": "AgPtNO", "functional": "PBE-GGA", "state": "optimized geometry", "lattice": [[-2.239, 0.635, 3.296], [-1.474, -3.745, -0.280], [5.013, -2.260, 3.842]], "species": ["Pt", "Pt", "Ag", "Ag", "N", "N", "O", "O"], "fractional_positions": [[0.250, 0.750, 0.500], [0.750, 0.250, 0.500], [0.750, 0.750, 0.893], [0.250, 0.250, 0.107], [0.750, 0.750, 0.393], [0.250, 0.250, 0.607], [0.250, 0.750, 0.000], [0.750, 0.250, 0.000]], "e_above_lowest_polymorph_mev_per_atom": 201, "crystal_system": "tetragonal"}



Entry 2:
{"formula": "AgPtNO", "functional": "PBE-GGA", "state": "optimized geometry", "lattice": [[-4.042, 1.574, -0.684], [-1.708, -3.862, 1.204], [-0.202, 1.630, 4.945]], "species": ["Pt", "Pt", "Ag", "Ag", "O", "O", "N", "N"], "fractional_positions": [[0.750, 0.750, 0.969], [0.250, 0.250, 0.031], [0.750, 0.250, 0.500], [0.250, 0.750, 0.500], [0.250, 0.750, 0.000], [0.750, 0.250, 0.000], [0.750, 0.750, 0.345], [0.250, 0.250, 0.655]], "e_above_lowest_polymorph_mev_per_atom": 314, "crystal_system": "tetragonal"}



Entry 3:
{"formula": "AgPtNO", "functional": "PBE-GGA", "state": "optimized geometry", "lattice": [[4.171, 0.000, 0.000], [0.000, 4.171, 0.000], [0.000, 0.000, 5.610]], "species": ["N", "N", "Pt", "Pt", "Ag", "Ag", "O", "O"], "fractional_positions": [[0.750, 0.750, 0.314], [0.250, 0.250, 0.686], [0.250, 0.250, 0.046], [0.750, 0.750, 0.954], [0.250, 0.750, 0.500], [0.750, 0.250, 0.500], [0.250, 0.750, 0.000], [0.750, 0.250, 0.000]], "e_above_lowest_polymorph_mev_per_atom": 370, "crystal_system": "tetragonal"}



Entry 4:
{"formula": "ReAgNO", "functional": "PBE-GGA", "state": "optimized geometry", "lattice": [[3.223, 0.000, 0.000], [0.000, 5.035, 0.000], [0.000, 0.000, 6.878]], "species": ["Ag", "Ag", "Re", "Re", "O", "O", "N", "N"], "fractional_positions": [[0.000, 0.455, 0.407], [0.000, 0.955, 0.593], [0.500, 0.539, 0.814], [0.500, 0.039, 0.186], [0.500, 0.388, 0.086], [0.500, 0.888, 0.914], [0.000, 0.372, 0.752], [0.000, 0.872, 0.248]], "e_above_lowest_polymorph_mev_per_atom": 18, "crystal_system": "orthorhombic"}



Entry 5:
{"formula": "ReAgNO", "functional": "PBE-GGA", "state": "optimized geometry", "lattice": [[0.114, 3.347, 0.846], [-5.548, -0.696, 3.504], [2.814, -1.164, 4.223]], "species": ["Re", "Re", "Ag", "Ag", "O", "O", "N", "N"], "fractional_positions": [[0.000, 0.006, 0.616], [0.000, 0.506, 0.384], [0.500, 0.032, 0.187], [0.500, 0.532, 0.813], [0.500, 0.936, 0.760], [0.500, 0.436, 0.240], [0.000, 0.280, 0.627], [0.000, 0.780, 0.373]], "e_above_lowest_polymorph_mev_per_atom": 0, "crystal_system": "orthorhombic"}



Entry 6:
{"formula": "ReAgNO", "functional": "PBE-GGA", "state": "optimized geometry", "lattice": [[-0.370, -3.258, -1.140], [2.568, -1.026, 2.098], [-5.030, -1.351, 5.494]], "species": ["O", "O", "N", "N", "Ag", "Ag", "Re", "Re"], "fractional_positions": [[0.250, 0.750, 0.000], [0.750, 0.250, 0.000], [0.250, 0.250, 0.749], [0.750, 0.750, 0.251], [0.250, 0.750, 0.500], [0.750, 0.250, 0.500], [0.750, 0.750, 0.842], [0.250, 0.250, 0.158]], "e_above_lowest_polymorph_mev_per_atom": 952, "crystal_system": "tetragonal"}



Entry 7:
{"formula": "ReAgNO", "functional": "PBE-GGA", "state": "optimized geometry", "lattice": [[2.736, -2.736, 0.000], [2.736, 2.736, 0.000], [0.000, 0.000, 6.582]], "species": ["O", "O", "Re", "Re", "Ag", "Ag", "N", "N"], "fractional_positions": [[0.750, 0.250, 0.000], [0.250, 0.750, 0.000], [0.250, 0.750, 0.500], [0.750, 0.250, 0.500], [0.250, 0.250, 0.160], [0.750, 0.750, 0.840], [0.250, 0.250, 0.613], [0.750, 0.750, 0.387]], "e_above_lowest_polymorph_mev_per_atom": 547, "crystal_system": "tetragonal"}



Entry 8:
{"formula": "AgSbNO", "functional": "PBE-GGA", "state": "optimized geometry", "lattice": [[6.975, 0.000, 0.000], [0.000, 6.887, 0.000], [0.000, 0.000, 5.518]], "species": ["N", "N", "N", "N", "Ag", "Ag", "Ag", "Ag", "Sb", "Sb", "Sb", "Sb", "O", "O", "O", "O"], "fractional_positions": [[0.442, 0.383, 0.089], [0.558, 0.617, 0.589], [0.942, 0.617, 0.089], [0.058, 0.383, 0.589], [0.154, 0.395, 0.955], [0.846, 0.605, 0.455], [0.654, 0.605, 0.955], [0.346, 0.395, 0.455], [0.893, 0.157, 0.473], [0.393, 0.843, 0.473], [0.107, 0.843, 0.973], [0.607, 0.157, 0.973], [0.056, 0.077, 0.185], [0.944, 0.923, 0.685], [0.556, 0.923, 0.185], [0.444, 0.077, 0.685]], "e_above_lowest_polymorph_mev_per_atom": 150, "crystal_system": "orthorhombic"}



Entry 9:
{"formula": "AgSbNO", "functional": "PBE-GGA", "state": "optimized geometry", "lattice": [[-3.667, 0.213, -0.759], [-0.399, -3.617, 0.912], [-1.449, 2.072, 7.585]], "species": ["Ag", "Ag", "Sb", "Sb", "N", "N", "O", "O"], "fractional_positions": [[0.000, 0.000, 0.500], [0.500, 0.500, 0.500], [0.500, 0.000, 0.845], [0.000, 0.500, 0.155], [0.000, 0.500, 0.682], [0.500, 0.000, 0.318], [0.000, 0.000, 0.000], [0.500, 0.500, 0.000]], "e_above_lowest_polymorph_mev_per_atom": 429, "crystal_system": "tetragonal"}



Entry 10:
{"formula": "AgSbNO", "functional": "PBE-GGA", "state": "optimized geometry", "lattice": [[-2.240, -1.158, 2.039], [3.830, -4.187, 1.831], [1.945, 4.305, 4.583]], "species": ["O", "O", "N", "N", "Sb", "Sb", "Ag", "Ag"], "fractional_positions": [[0.500, 0.831, 0.356], [0.500, 0.130, 0.764], [0.000, 0.703, 0.919], [0.000, 0.309, 0.376], [0.500, 0.139, 0.471], [0.500, 0.901, 0.010], [0.000, 0.354, 0.028], [0.000, 0.632, 0.584]], "e_above_lowest_polymorph_mev_per_atom": 0, "crystal_system": "monoclinic"}



Entry 11:
{"formula": "AgSbNO", "functional": "PBE-GGA", "state": "optimized geometry", "lattice": [[-1.905, -3.300, 0.000], [0.000, 0.000, 5.592], [-5.226, 3.017, 0.000]], "species": ["Ag", "Ag", "O", "O", "N", "N", "Sb", "Sb"], "fractional_positions": [[0.500, 0.988, 0.191], [0.500, 0.488, 0.809], [0.500, 0.927, 0.798], [0.500, 0.427, 0.202], [0.000, 0.350, 0.634], [0.000, 0.850, 0.366], [0.000, 0.989, 0.677], [0.000, 0.489, 0.323]], "e_above_lowest_polymorph_mev_per_atom": 33, "crystal_system": "orthorhombic"}



Entry 12:
{"formula": "AgSbNO", "functional": "PBE-GGA", "state": "optimized geometry", "lattice": [[5.705, 0.000, 0.000], [0.000, 5.928, 0.000], [0.000, 0.000, 7.265]], "species": ["Ag", "Ag", "Ag", "Ag", "N", "N", "N", "N", "O", "O", "O", "O", "Sb", "Sb", "Sb", "Sb"], "fractional_positions": [[0.061, 0.458, 0.145], [0.561, 0.458, 0.855], [0.939, 0.958, 0.855], [0.439, 0.958, 0.145], [0.372, 0.431, 0.573], [0.128, 0.931, 0.573], [0.628, 0.931, 0.427], [0.872, 0.431, 0.427], [0.988, 0.346, 0.856], [0.012, 0.846, 0.144], [0.488, 0.346, 0.144], [0.512, 0.846, 0.856], [0.951, 0.062, 0.349], [0.049, 0.562, 0.651], [0.549, 0.562, 0.349], [0.451, 0.062, 0.651]], "e_above_lowest_polymorph_mev_per_atom": 107, "crystal_system": "orthorhombic"}